VASP calculation (PBE) on an optimized crystal structure of BaFeOs2.

Structure (POSCAR):
```
BaFeOs2
1.0
-2.4811 2.4811 8.2170
2.4811 -2.4811 8.2170
2.4811 2.4811 -8.2170
Ba Fe Os
2 2 4
direct
0.3750 0.6250 0.7500
0.6250 0.3750 0.2500
0.1250 0.8750 0.2500
0.8750 0.1250 0.7500
0.0000 0.0000 0.0000
0.0000 0.0000 0.5000
0.0000 0.5000 0.0000
0.5000 0.0000 0.5000
```

Computed properties:
As for the density of states at the Fermi level: 1.465 states/eV per atom. As for the formation energy: 939 meV per atom.

VASP calculation (PBE) on an optimized crystal structure of LiGeTeSe.

Structure (POSCAR):
```
LiGeTeSe
1.0
3.2808 -2.5261 0.0000
3.2808 2.5261 0.0000
-1.3358 0.0000 6.5919
Li Ge Te Se
1 1 1 1
direct
0.0000 0.0000 0.0000
0.4732 0.4732 0.4000
0.9005 0.9005 0.5432
0.4027 0.4027 0.0417
```

Computed properties:
The value obtained for the electronic total energy is -3.792 eV per atom. As for the density of states at the Fermi level: 0.125 states/eV per atom.

VASP calculation (PBE) on an optimized crystal structure of RbTl2HgI4.

Structure (POSCAR):
```
RbTl2HgI4
1.0
2.7871 -7.8098 0.0000
2.7871 7.8098 0.0000
0.0000 0.0000 17.2228
Rb Tl Hg I
2 4 2 8
direct
0.1440 0.8560 0.7500
0.8560 0.1440 0.2500
0.3711 0.6289 0.5460
0.3711 0.6289 0.9540
0.6289 0.3711 0.0460
0.6289 0.3711 0.4540
0.1079 0.8921 0.2500
0.8921 0.1079 0.7500
0.0000 0.0000 0.0000
0.0000 0.0000 0.5000
0.2625 0.7375 0.1239
0.2625 0.7375 0.3761
0.4449 0.5551 0.7500
0.5551 0.4449 0.2500
0.7375 0.2625 0.6239
0.7375 0.2625 0.8761
```

Computed properties:
The value obtained for the electronic total energy is -2.223 eV per atom. As for the density of states at the Fermi level: 0.163 states/eV per atom.

VASP calculation (PBE) on an optimized crystal structure of CaMgPb.

Structure (POSCAR):
```
CaMgPb
1.0
0.0000 3.6176 3.6176
3.6176 0.0000 3.6176
3.6176 3.6176 0.0000
Ca Mg Pb
1 1 1
direct
0.0000 0.0000 0.0000
0.5000 0.5000 0.5000
0.2500 0.2500 0.2500
```

Computed properties:
As for the formation energy: -352 meV per atom.

VASP calculation (PBE) on an optimized crystal structure of YAl4Se.

Structure (POSCAR):
```
YAl4Se
1.0
0.0000 3.8997 3.8997
3.8997 0.0000 3.8997
3.8997 3.8997 0.0000
Y Al Se
1 4 1
direct
0.0000 0.0000 0.0000
0.1202 0.6266 0.6266
0.6266 0.1202 0.6266
0.6266 0.6266 0.1202
0.6266 0.6266 0.6266
0.2500 0.2500 0.2500
```

Computed properties:
The value obtained for the electronic total energy is -4.369 eV per atom. As for the density of states at the Fermi level: 0.704 states/eV per atom.

VASP calculation (PBE) on an optimized crystal structure of Zr2CuRh.

Structure (POSCAR):
```
Zr2CuRh
1.0
1.7062 0.9851 7.6191
-1.7062 0.9851 7.6191
0.0000 -1.9702 7.6191
Zr Cu Rh
2 1 1
direct
0.2480 0.2480 0.2480
0.7520 0.7520 0.7520
0.0000 0.0000 0.0000
0.5000 0.5000 0.5000
```

Computed properties:
As for the density of states at the Fermi level: 0.875 states/eV per atom. As for the formation energy: -182 meV per atom.

VASP calculation (PBE) on an optimized crystal structure of Tb4H.

Structure (POSCAR):
```
Tb4H
1.0
5.0062 0.0000 0.0000
0.0000 5.0062 0.0000
0.0000 0.0000 5.0062
Tb H
4 1
direct
0.0000 0.0000 0.0000
0.0000 0.5000 0.5000
0.5000 0.0000 0.5000
0.5000 0.5000 0.0000
0.5000 0.5000 0.5000
```

Computed properties:
The value obtained for the electronic total energy is -4.544 eV per atom. As for the density of states at the Fermi level: 0.944 states/eV per atom.

VASP calculation (PBE) on an optimized crystal structure of Li6TlAu3.

Structure (POSCAR):
```
Li6TlAu3
1.0
7.6545 0.0000 0.0000
0.0000 4.6256 0.0000
-3.2300 0.0000 9.3861
Li Tl Au
12 2 6
direct
0.0350 0.2500 0.4208
0.1416 0.7500 0.1820
0.2135 0.2500 0.9980
0.3300 0.7500 0.7692
0.3400 0.2500 0.3192
0.4264 0.2500 0.6032
0.5736 0.7500 0.3968
0.6600 0.7500 0.6808
0.6700 0.2500 0.2308
0.7865 0.7500 0.0020
0.8584 0.2500 0.8180
0.9650 0.7500 0.5792
0.4529 0.7500 0.0942
0.5471 0.2500 0.9058
0.0434 0.7500 0.8716
0.1338 0.2500 0.7062
0.2668 0.7500 0.4777
0.7332 0.2500 0.5223
0.8662 0.7500 0.2938
0.9566 0.2500 0.1284
```

Computed properties:
As for the density of states at the Fermi level: 0.312 states/eV per atom. As for the formation energy: -431 meV per atom.

In order of appearance, theoretical density = 9.415 4.349 5.326 4.763 3.861 7.540 8.427 8.364 g/cm3.
In order of appearance, M_tot = 2.17 0.00 0.00 0.00 0.00 0.00 0.00 0.00 μB per formula unit.